ScTlAg2F6 after structural relaxation, computed with GGA-PBE.

Values from the calculation:
Space group: P-1 (2)
M_tot (μB/f.u.): 0.00
N(E_F) (states/eV per cell): 0.0
Raw total energy (eV/atom): -4.904
Formation energy (no corrections) (meV/atom): -2341

Structure (extended XYZ):
```
10
Lattice="-2.2325 -5.0811 -3.0743 3.6617 -5.1173 -0.7668 -1.2682 -5.3171 3.1328" Properties=species:S:1:pos:R:3 pbc="T T T"
F 0.0447 -7.0093 1.8286
F -1.9994 -8.4251 0.4121
F -0.5399 -5.3045 -0.8015
F -0.7304 -8.9699 -2.4580
F 2.6276 -7.7676 -0.6178
F 0.5390 -9.6644 0.8795
Ag -0.7736 -4.7800 1.8893
Ag 0.2798 -7.5329 -0.8649
Tl 0.4676 -11.2555 -1.4079
Sc 0.3863 -3.4981 -1.0532
```

YTa2Sb after structural relaxation, computed with GGA-PBE.

Values from the calculation:
Space group: P2/m (10)
M_tot (μB/f.u.): 0.00
N(E_F) (states/eV per cell): 3.6
Raw total energy (eV/atom): -8.406
Formation energy (no corrections) (meV/atom): 167

Structure (extended XYZ):
```
4
Lattice="-4.3676 -0.8163 -2.8082 -1.6504 -0.3785 2.6768 -1.1708 5.1769 0.3161" Properties=species:S:1:pos:R:3 pbc="T T T"
Ta -1.5982 2.3082 1.8146
Ta -1.4628 -0.2874 2.3587
Y -2.8891 0.7914 -0.6559
Sb -4.2997 3.1906 0.8406
```

YCrInPb2 after structural relaxation, computed with GGA-PBE.

Values from the calculation:
Space group: P4/mmm (123)
M_tot (μB/f.u.): 4.43
N(E_F) (states/eV per cell): 3.8
Raw total energy (eV/atom): -4.565
DFT formation energy (meV per atom): 684

Structure (extended XYZ):
```
5
Lattice="5.6836 0.0000 0.0000 0.0000 5.0753 0.0000 0.0000 0.0000 5.6836" Properties=species:S:1:pos:R:3 pbc="T T T"
Pb 0.0000 0.0000 2.8418
Pb 2.8418 0.0000 0.0000
Y 2.8418 2.5376 2.8418
In 0.0000 0.0000 0.0000
Cr 0.0000 2.5376 0.0000
```

PmSm5Ho5 after structural relaxation, computed with GGA-PBE.

Values from the calculation:
Space group: P-6m2 (187)
M_tot (μB/f.u.): 0.00
N(E_F) (states/eV per cell): 21.1
Raw total energy (eV/atom): -4.357
DFT formation energy (meV per atom): 301

Structure (extended XYZ):
```
11
Lattice="6.0975 0.0000 0.0000 -3.0488 5.2806 0.0000 0.0000 0.0000 11.7256" Properties=species:S:1:pos:R:3 pbc="T T T"
Ho 1.5263 0.8812 5.8628
Ho 4.5712 0.8812 5.8628
Ho 3.0488 3.5182 5.8628
Ho 0.0000 0.0000 3.1189
Ho 0.0000 0.0000 8.6068
Sm 3.0488 1.7602 9.9025
Sm 0.0000 3.5204 3.7575
Sm 0.0000 0.0000 0.0000
Sm 0.0000 3.5204 7.9681
Sm 3.0488 1.7602 1.8232
Pm 0.0000 3.5204 0.0000
```